Compound: Y2BeSn
Source: the Alexandria database
Functional: GGA-PBE
Structure: relaxed

Properties
- Energy of formation from the pure elements: 0.0591 eV per atom
- DOS at the Fermi energy: 3.753 states/eV/f.u.
- Relative energy among the computed polymorphs: 298.7 meV/atom

Cell lengths 7.858, 7.858, 6.593 Å; angles 90.00, 90.00, 90.00 degrees
Space group I-42d (No. 122)
Inequivalent atoms, fractional coordinates:
Y (0.213, 0.250, 0.125)
Be (0.000, 0.000, 0.000)
Sn (0.000, 0.000, 0.500)